# Ba2Ga2Sn | Alexandria via LeMat-Bulk | PBE-GGA | relaxed
# - total magnetic moment (μB/cell) = 0.00
# - DFT formation energy (eV per atom) = -0.391
# - DOS at the Fermi energy (states/eV per atom) = 0.757
# - ΔE to the lowest computed polymorph (meV/atom) = 95
data_Ba2Ga2Sn
_chemical_formula_sum 'Ba4 Ga4 Sn2'
_cell_length_a 5.032
_cell_length_b 4.496
_cell_length_c 14.810
_cell_angle_alpha 90.00
_cell_angle_beta 90.00
_cell_angle_gamma 90.00
_space_group_name_H-M_alt 'A m m 2'
_space_group_IT_number 38
loop_
_space_group_symop_operation_xyz
'x,y,z'
'-x,-y,z'
'-x,y,z'
'x,-y,z'
'x,y+1/2,z+1/2'
'-x,-y+1/2,z+1/2'
'-x,y+1/2,z+1/2'
'x,-y+1/2,z+1/2'
loop_
_atom_site_label
_atom_site_type_symbol
_atom_site_fract_x
_atom_site_fract_y
_atom_site_fract_z
Ba1 Ba 0.000 0.000 0.000
Ba2 Ba 0.000 0.000 0.244
Ga1 Ga 0.500 0.000 0.431
Ga2 Ga 0.500 0.000 0.614
Sn1 Sn 0.500 0.000 0.822